Nd2HoTm3Se6: relaxed, PBE.

Geometry as POSCAR:
```
Nd2HoTm3Se6
1.0
-3.5015 -1.9767 0.4865
-0.0770 -1.8534 -8.0848
6.1344 -5.8233 3.6302
Nd Ho Tm Se
2 1 3 6
direct
0.8313 0.6634 0.6626
0.1687 0.3366 0.3374
0.5000 0.0000 0.0000
0.5000 0.5000 0.0000
0.8297 0.1659 0.6593
0.1703 0.8341 0.3407
0.3342 0.9303 0.6685
0.6612 0.5946 0.3224
0.6658 0.0697 0.3315
0.9949 0.2501 0.9899
0.0051 0.7499 0.0101
0.3388 0.4054 0.6776
```

- Space group: C2/m (12)
- Total magnetization: 0.000 μB/cell
- Energy: -5.770 eV/atom
- D(E_F): 5.1 states/eV/f.u.
- E_form (uncorrected): -1733 meV per atom

---

Tb16Sm7Sc6: relaxed, PBE.

Geometry as POSCAR:
```
Tb16Sm7Sc6
1.0
9.4048 0.0000 5.4299
3.1349 8.8669 5.4299
0.0000 0.0000 10.8597
Tb Sm Sc
16 7 6
direct
0.8515 0.8515 0.4454
0.8515 0.8515 0.8515
0.8515 0.4454 0.8515
0.4454 0.8515 0.8515
0.1485 0.1485 0.1485
0.1485 0.1485 0.5546
0.1485 0.5546 0.1485
0.5546 0.1485 0.1485
0.6111 0.6111 0.1668
0.6111 0.6111 0.6111
0.6111 0.1668 0.6111
0.1668 0.6111 0.6111
0.3889 0.3889 0.3889
0.3889 0.3889 0.8332
0.3889 0.8332 0.3889
0.8332 0.3889 0.3889
0.0000 0.0000 0.0000
0.5000 0.0000 0.5000
0.0000 0.5000 0.0000
0.0000 0.5000 0.5000
0.5000 0.0000 0.0000
0.0000 0.0000 0.5000
0.5000 0.5000 0.0000
0.2252 0.7748 0.2252
0.7748 0.2252 0.7748
0.7748 0.2252 0.2252
0.2252 0.7748 0.7748
0.7748 0.7748 0.2252
0.2252 0.2252 0.7748
```

- Space group: Fm-3m (225)
- Total magnetization: 0.001 μB/cell
- Energy of formation from the pure elements: 0.196 eV/atom
- Energy: -4.808 eV/atom
- D(E_F): 50.9 states/eV/f.u.